Record 1
First-principles (GGA-PBE) data for an optimized crystal structure of LaLuCo2Ge2C, as listed in OQMD.

a b c (Å): 10.925 3.999 6.973
angles (deg): 90.00 128.97 90.00
Element x y z (fractional)
1 La 0.000 0.000 0.000
2 La 0.500 0.500 0.000
3 Lu 0.115 0.000 0.585
4 Lu 0.615 0.500 0.585
5 Co 0.252 0.500 0.381
6 Co 0.373 0.000 0.223
7 Co 0.752 0.000 0.381
8 Co 0.873 0.500 0.223
9 Ge 0.225 0.500 0.005
10 Ge 0.392 0.000 0.582
11 Ge 0.725 0.000 0.005
12 Ge 0.892 0.500 0.582
13 C 0.068 0.500 0.322
14 C 0.568 0.000 0.322

Output
The space-group type is Cm, No. 8. The value obtained for the raw total energy is -6.574 eV per atom.



Record 2
First-principles (GGA-PBE) data for an optimized crystal structure of AlFeMoPt, as listed in OQMD.

a b c (Å): 6.137 6.137 6.137
angles (deg): 90.00 90.00 90.00
Element x y z (fractional)
1 Al 0.000 0.000 0.000
2 Al 0.000 0.500 0.500
3 Al 0.500 0.000 0.500
4 Al 0.500 0.500 0.000
5 Fe 0.250 0.250 0.250
6 Fe 0.250 0.750 0.750
7 Fe 0.750 0.250 0.750
8 Fe 0.750 0.750 0.250
9 Mo 0.000 0.000 0.500
10 Mo 0.000 0.500 0.000
11 Mo 0.500 0.000 0.000
12 Mo 0.500 0.500 0.500
13 Pt 0.250 0.250 0.750
14 Pt 0.250 0.750 0.250
15 Pt 0.750 0.250 0.250
16 Pt 0.750 0.750 0.750

Output
The space-group type is F-43m, No. 216. Its energy above the most stable polymorph in this dataset is 0 meV/atom. The value obtained for the raw total energy is -7.431 eV per atom.